! CdIn2Si GGA-PBE relaxed; values from VASP
&SYSTEM
  ibrav = 0, nat = 4, ntyp = 3
/
ATOMIC_SPECIES
Cd 112.41 Cd.upf
In 114.82 In.upf
Si 28.09 Si.upf
ATOMIC_POSITIONS crystal
Cd 0.0000 0.0000 0.0000
In 0.2500 0.2500 0.2500
In 0.5000 0.5000 0.5000
Si 0.7500 0.7500 0.7500
CELL_PARAMETERS angstrom
0.0000 3.6197 3.6197
3.6197 0.0000 3.6197
3.6197 3.6197 0.0000
! Theoretical density = 6.5 g/cm3
! ΔE_f (raw) = 0.309 eV/atom
! Symmetry = F-43m
! DOS(E_F) = 1.6 states/eV/cell

---

! CdIn2Si GGA-PBE relaxed; values from VASP
&SYSTEM
  ibrav = 0, nat = 4, ntyp = 3
/
ATOMIC_SPECIES
Cd 112.41 Cd.upf
In 114.82 In.upf
Si 28.09 Si.upf
ATOMIC_POSITIONS crystal
Cd 0.0000 0.0000 0.0000
In 0.2442 0.2442 0.2442
In 0.7558 0.7558 0.7558
Si 0.5000 0.5000 0.5000
CELL_PARAMETERS angstrom
1.6769 0.9682 9.6049
-1.6769 0.9682 9.6049
0.0000 -1.9363 9.6049
! Theoretical density = 6.6 g/cm3
! ΔE_f (raw) = 0.280 eV/atom
! Symmetry = R-3m
! DOS(E_F) = 1.8 states/eV/cell

---

! CdIn2Si GGA-PBE relaxed; values from VASP
&SYSTEM
  ibrav = 0, nat = 4, ntyp = 3
/
ATOMIC_SPECIES
Cd 112.41 Cd.upf
In 114.82 In.upf
Si 28.09 Si.upf
ATOMIC_POSITIONS crystal
Cd 0.0000 0.0000 0.0000
In 0.4028 0.5000 0.8009
In 0.7180 0.0000 0.4378
Si 0.1706 0.5000 0.3427
CELL_PARAMETERS angstrom
4.1588 0.0000 0.0000
0.0000 3.8489 0.0000
-2.0394 0.0000 6.0475
! Theoretical density = 6.3 g/cm3
! ΔE_f (raw) = 0.215 eV/atom
! Symmetry = Pm
! DOS(E_F) = 1.5 states/eV/cell

---

! CdInSi GGA-PBE relaxed; values from VASP
&SYSTEM
  ibrav = 0, nat = 3, ntyp = 3
/
ATOMIC_SPECIES
Cd 112.41 Cd.upf
In 114.82 In.upf
Si 28.09 Si.upf
ATOMIC_POSITIONS crystal
Cd 0.0000 0.0000 0.0000
In 0.3333 0.6667 0.5808
Si 0.6667 0.3333 0.6489
CELL_PARAMETERS angstrom
5.1283 0.0000 0.0000
-2.5641 4.4412 0.0000
0.0000 0.0000 2.9318
! Theoretical density = 6.3 g/cm3
! ΔE_f (raw) = 0.348 eV/atom
! Symmetry = P3m1
! DOS(E_F) = 0.8 states/eV/cell

---

! CdIn2Si GGA-PBE relaxed; values from VASP
&SYSTEM
  ibrav = 0, nat = 4, ntyp = 3
/
ATOMIC_SPECIES
Cd 112.41 Cd.upf
In 114.82 In.upf
Si 28.09 Si.upf
ATOMIC_POSITIONS crystal
Cd 0.0000 0.0000 0.0000
In 0.2500 0.7500 0.5000
In 0.7500 0.2500 0.5000
Si 0.5000 0.5000 0.0000
CELL_PARAMETERS angstrom
-2.3610 2.3610 4.1459
2.3610 -2.3610 4.1459
2.3610 2.3610 -4.1459
! Theoretical density = 6.6 g/cm3
! ΔE_f (raw) = 0.278 eV/atom
! Symmetry = I4/mmm
! DOS(E_F) = 1.3 states/eV/cell

---

! Cd3InSi GGA-PBE relaxed; values from VASP
&SYSTEM
  ibrav = 0, nat = 5, ntyp = 3
/
ATOMIC_SPECIES
Cd 112.41 Cd.upf
In 114.82 In.upf
Si 28.09 Si.upf
ATOMIC_POSITIONS crystal
Cd 0.0000 0.0000 0.5000
Cd 0.0000 0.5000 0.0000
Cd 0.5000 0.0000 0.0000
In 0.0000 0.0000 0.0000
Si 0.5000 0.5000 0.5000
CELL_PARAMETERS angstrom
5.4129 0.0000 0.0000
0.0000 5.4129 0.0000
0.0000 0.0000 5.4129
! Theoretical density = 5.0 g/cm3
! ΔE_f (raw) = 0.841 eV/atom
! Symmetry = Pm-3m
! DOS(E_F) = 4.3 states/eV/cell

---

! CdIn2Si GGA-PBE relaxed; values from VASP
&SYSTEM
  ibrav = 0, nat = 4, ntyp = 3
/
ATOMIC_SPECIES
Cd 112.41 Cd.upf
In 114.82 In.upf
Si 28.09 Si.upf
ATOMIC_POSITIONS crystal
Cd 0.0000 0.0000 0.0000
In 0.2500 0.7500 0.5000
In 0.5000 0.5000 0.0000
Si 0.7500 0.2500 0.5000
CELL_PARAMETERS angstrom
-2.1790 2.1790 4.8936
2.1790 -2.1790 4.8936
2.1790 2.1790 -4.8936
! Theoretical density = 6.6 g/cm3
! ΔE_f (raw) = 0.290 eV/atom
! Symmetry = I-4m2
! DOS(E_F) = 2.0 states/eV/cell

---

! Cd2InSi2 GGA-PBE relaxed; values from VASP
&SYSTEM
  ibrav = 0, nat = 5, ntyp = 3
/
ATOMIC_SPECIES
Cd 112.41 Cd.upf
In 114.82 In.upf
Si 28.09 Si.upf
ATOMIC_POSITIONS crystal
Cd 0.2500 0.7500 0.5000
Cd 0.7500 0.2500 0.5000
In 0.0000 0.0000 0.0000
Si 0.3939 0.3939 0.0000
Si 0.6061 0.6061 0.0000
CELL_PARAMETERS angstrom
-2.2830 2.2830 5.4742
2.2830 -2.2830 5.4742
2.2830 2.2830 -5.4742
! Theoretical density = 5.8 g/cm3
! ΔE_f (raw) = 0.267 eV/atom
! Symmetry = I4/mmm
! DOS(E_F) = 2.1 states/eV/cell

---

Which value of ΔE_f (raw) does entry 7 give?
0.290 eV/atom

---

ΔE_f (raw) of number 5 (CdIn2Si)?
0.278 eV/atom